## LiMgV2Os (PBE)

Data for LiMgV2Os after structural relaxation.

Cell lengths 4.6168, 4.8281, 4.6168 Å; angles 90.00, 90.00, 90.00 degrees
Positions (direct):
Mg 0.5000 0.5000 0.5000
Li 0.0000 0.5000 0.0000
Os 0.0000 0.0000 0.0000
V 0.0000 0.0000 0.5000
V 0.5000 0.0000 0.0000

Output
Crystal system: tetragonal
VASP energy, eV per atom: -5.79
Density of states at the Fermi level, states/eV per cell: 5.0
Space-group type: P4/mmm, No. 123